## BaZn3H (GGA-PBE)

Data for a relaxed BaZn3H crystal.

It has space group Pm-3m (No. 221), with a = 4.809 Å, b = 4.809 Å, c = 4.809 Å, α = 90.00°, β = 90.00° and γ = 90.00°. The inequivalent atoms are Ba at (0.000, 0.000, 0.000), Zn at (0.000, 0.500, 0.500) and H at (0.500, 0.500, 0.500).

The value obtained for the raw total energy is -7.640 eV per cell.



## Ba2Zn2H7 (GGA-PBE)

Data for a relaxed Ba2Zn2H7 crystal.

It has space group C2/m (No. 12), with a = 8.050 Å, b = 9.201 Å, c = 4.528 Å, α = 90.00°, β = 104.09° and γ = 90.00°. The inequivalent atoms are Ba at (0.000, 0.246, 0.000), Zn at (0.238, 0.500, 0.496), H at (0.000, 0.500, 0.500), H at (0.175, 0.000, 0.136) and H at (0.205, 0.152, 0.653).

The value obtained for the raw total energy is -64.494 eV per cell.



## BaZn2H (GGA-PBE)

Data for a relaxed BaZn2H crystal.

It has space group Fm-3m (No. 225), with a = 7.453 Å, b = 7.453 Å, c = 7.453 Å, α = 90.00°, β = 90.00° and γ = 90.00°. The inequivalent atoms are Ba at (0.000, 0.000, 0.000), Zn at (0.250, 0.250, 0.250) and H at (0.000, 0.000, 0.500).

The value obtained for the polymorph energy (0 for the lowest one) is 0.297 eV per atom. The value obtained for the raw total energy is -24.128 eV per cell.



## Ba4ZnH (GGA-PBE)

Data for a relaxed Ba4ZnH crystal.

It has space group P2_1/m (No. 11), with a = 6.829 Å, b = 11.433 Å, c = 6.843 Å, α = 90.00°, β = 91.92° and γ = 90.00°. The inequivalent atoms are Ba at (0.188, 0.250, 0.270), Ba at (0.229, 0.750, 0.314), Ba at (0.273, 0.033, 0.773), Zn at (0.339, 0.750, 0.842) and H at (0.160, 0.250, 0.659).

The value obtained for the raw total energy is -26.166 eV per cell.



## Ba3Zn2H (GGA-PBE)

Data for a relaxed Ba3Zn2H crystal.

It has space group C2/c (No. 15), with a = 12.700 Å, b = 8.258 Å, c = 7.799 Å, α = 90.00°, β = 102.62° and γ = 90.00°. The inequivalent atoms are Ba at (0.000, 0.075, 0.250), Ba at (0.135, 0.418, 0.984), Zn at (0.190, 0.203, 0.615) and H at (0.000, 0.406, 0.250).

The value obtained for the raw total energy is -50.659 eV per cell.



## BaZn2H6 (GGA-PBE)

Data for a relaxed BaZn2H6 crystal.

It has space group C2/c (No. 15), with a = 10.388 Å, b = 8.553 Å, c = 5.486 Å, α = 90.00°, β = 112.93° and γ = 90.00°. The inequivalent atoms are Ba at (0.000, 0.250, 0.250), Zn at (0.250, 0.100, 0.001), H at (0.106, 0.027, 0.992), H at (0.107, 0.473, 0.992) and H at (0.217, 0.250, 0.754).

The value obtained for the polymorph energy (0 for the lowest one) is 0.000 eV per atom. The value obtained for the raw total energy is -104.995 eV per cell.



## Ba4Zn2H (GGA-PBE)

Data for a relaxed Ba4Zn2H crystal.

It has space group I4/mmm (No. 139), with a = 5.499 Å, b = 5.499 Å, c = 17.172 Å, α = 90.00°, β = 90.00° and γ = 90.00°. The inequivalent atoms are Ba at (0.000, 0.000, 0.187), Ba at (0.000, 0.500, 0.000), Zn at (0.000, 0.000, 0.381) and H at (0.000, 0.000, 0.000).

The value obtained for the raw total energy is -29.129 eV per cell.



## Ba2ZrZnH (GGA-PBE)

Data for a relaxed Ba2ZrZnH crystal.

It has space group P4/mmm (No. 123), with a = 6.510 Å, b = 6.510 Å, c = 5.075 Å, α = 90.00°, β = 90.00° and γ = 90.00°. The inequivalent atoms are Ba at (0.000, 0.500, 0.000), Zr at (0.000, 0.000, 0.500), Zn at (0.000, 0.000, 0.000) and H at (0.500, 0.500, 0.500).

The value obtained for the raw total energy is -13.458 eV per cell.



## BaZrZn2H (GGA-PBE)

Data for a relaxed BaZrZn2H crystal.

It has space group P4/mmm (No. 123), with a = 5.734 Å, b = 5.734 Å, c = 4.092 Å, α = 90.00°, β = 90.00° and γ = 90.00°. The inequivalent atoms are Ba at (0.000, 0.000, 0.000), Zr at (0.500, 0.500, 0.500), Zn at (0.000, 0.500, 0.000) and H at (0.000, 0.000, 0.500).

The value obtained for the raw total energy is -11.623 eV per cell.



## Ba2ZrH2 (GGA-PBE)

Data for a relaxed Ba2ZrH2 crystal.

It has space group I4/mmm (No. 139), with a = 5.676 Å, b = 5.676 Å, c = 9.452 Å, α = 90.00°, β = 90.00° and γ = 90.00°. The inequivalent atoms are Ba at (0.000, 0.500, 0.250), Zr at (0.000, 0.000, 0.000) and H at (0.000, 0.000, 0.220).

The value obtained for the polymorph energy (0 for the lowest one) is 0.001 eV per atom. The value obtained for the raw total energy is -36.180 eV per cell.



## Ba2ZrH2 (GGA-PBE)

Data for a relaxed Ba2ZrH2 crystal.

It has space group I4/mmm (No. 139), with a = 3.917 Å, b = 3.917 Å, c = 18.183 Å, α = 90.00°, β = 90.00° and γ = 90.00°. The inequivalent atoms are Ba at (0.000, 0.000, 0.159), Zr at (0.000, 0.000, 0.500) and H at (0.000, 0.500, 0.250).

The value obtained for the polymorph energy (0 for the lowest one) is 0.000 eV per atom. The value obtained for the raw total energy is -36.190 eV per cell.



## Ba2ZrH (GGA-PBE)

Data for a relaxed Ba2ZrH crystal.

It has space group I-42d (No. 122), with a = 7.931 Å, b = 7.931 Å, c = 8.268 Å, α = 90.00°, β = 90.00° and γ = 90.00°. The inequivalent atoms are Ba at (0.138, 0.250, 0.125), Zr at (0.000, 0.000, 0.500) and H at (0.000, 0.000, 0.000).

The value obtained for the polymorph energy (0 for the lowest one) is 0.000 eV per atom. The value obtained for the raw total energy is -55.014 eV per cell.